HfHgI2O | Alexandria | PBE | relaxed; final energy = -4.827 eV per atom; space-group type = P4/mmm, No. 123; excess energy over the best structure of this formula in the dataset = 0.00 eV/f.u.; energy relative to the elements, uncorrected = -1164 meV/atom
1.0
5.938 0.000 0.000
0.000 5.938 0.000
0.000 0.000 3.995
Hf Hg I O
1 1 2 1
Direct
0.000 0.000 0.000 Hf
0.500 0.500 0.500 Hg
0.000 0.500 0.000 I
0.500 0.000 0.000 I
0.000 0.000 0.500 O

---

AlGe2OsCl | Alexandria | PBE | relaxed; final energy = -3.781 eV per atom; space-group type = P4/mmm, No. 123; energy relative to the elements, uncorrected = 1429 meV/atom
1.0
4.725 0.000 0.000
0.000 4.725 0.000
0.000 0.000 4.543
Al Ge Os Cl
1 2 1 1
Direct
0.000 0.000 0.000 Al
0.000 0.500 0.500 Ge
0.500 0.000 0.500 Ge
0.500 0.500 0.000 Os
0.000 0.000 0.500 Cl

---

InTeAs2 | Alexandria | PBE | relaxed; final energy = -3.734 eV per atom; space-group type = R-3m, No. 166; excess energy over the best structure of this formula in the dataset = 0.36 eV/f.u.; energy relative to the elements, uncorrected = 60 meV/atom
1.0
2.083 1.203 6.652
-2.083 1.203 6.652
0.000 -2.405 6.652
In Te As
1 1 2
Direct
0.000 0.000 0.000 In
0.500 0.500 0.500 Te
0.251 0.251 0.251 As
0.749 0.749 0.749 As

---

MgWI2N | Alexandria | PBE | relaxed; final energy = -4.923 eV per atom; space-group type = P4/mmm, No. 123; excess energy over the best structure of this formula in the dataset = 0.00 eV/f.u.; energy relative to the elements, uncorrected = 272 meV/atom
1.0
5.678 0.000 0.000
0.000 5.678 0.000
0.000 0.000 3.861
Mg W I N
1 1 2 1
Direct
0.000 0.000 0.000 Mg
0.500 0.500 0.500 W
0.000 0.500 0.500 I
0.500 0.000 0.500 I
0.500 0.500 0.000 N

---

CsPdI3 | Alexandria | PBE | relaxed; final energy = -2.804 eV per atom; space-group type = Pmn2_1, No. 31; energy relative to the elements, uncorrected = -665 meV/atom
1.0
7.555 0.000 0.000
0.000 8.428 0.000
0.000 0.000 6.405
Cs Pd I
2 2 6
Direct
0.000 0.137 0.000 Cs
0.500 0.863 0.500 Cs
0.000 0.535 0.662 Pd
0.500 0.465 0.162 Pd
0.000 0.869 0.516 I
0.248 0.371 0.446 I
0.252 0.629 0.946 I
0.500 0.131 0.016 I
0.748 0.629 0.946 I
0.752 0.371 0.446 I

---

In2Hg3Pb8 | Alexandria | PBE | relaxed; final energy = -2.699 eV per atom; ΔH_f (0 K) = 0.0743 eV per atom; space-group type = C2/m, No. 12; excess energy over the best structure of this formula in the dataset = 0.18 eV/f.u.
1.0
6.831 -4.493 0.000
6.831 4.493 0.000
-1.564 0.000 6.678
In Hg Pb
2 3 8
Direct
0.183 0.183 0.215 In
0.817 0.817 0.785 In
0.000 0.000 0.500 Hg
0.189 0.811 0.000 Hg
0.811 0.189 0.000 Hg
0.179 0.569 0.546 Pb
0.216 0.216 0.757 Pb
0.411 0.411 0.148 Pb
0.431 0.821 0.454 Pb
0.569 0.179 0.546 Pb
0.589 0.589 0.852 Pb
0.784 0.784 0.243 Pb
0.821 0.431 0.454 Pb

---

KPmPuO6 | Alexandria | PBE | relaxed; final energy = -7.906 eV per atom; space-group type = P4_2nm, No. 102; energy relative to the elements, uncorrected = -2358 meV/atom
1.0
5.368 0.000 0.000
0.000 5.368 0.000
0.000 0.000 10.657
K Pm Pu O
2 2 2 12
Direct
0.000 0.000 0.000 K
0.500 0.500 0.500 K
0.000 0.000 0.669 Pm
0.500 0.500 0.169 Pm
0.000 0.000 0.335 Pu
0.500 0.500 0.835 Pu
0.164 0.164 0.481 O
0.196 0.196 0.210 O
0.243 0.243 0.816 O
0.257 0.743 0.316 O
0.304 0.696 0.710 O
0.336 0.664 0.981 O
0.664 0.336 0.981 O
0.696 0.304 0.710 O
0.743 0.257 0.316 O
0.757 0.757 0.816 O
0.804 0.804 0.210 O
0.836 0.836 0.481 O

---

LaCeTlGe | Alexandria | PBE | relaxed; final energy = -4.877 eV per atom; ΔH_f (0 K) = -0.4156 eV per atom; space-group type = F-43m, No. 216
1.0
0.000 3.825 3.825
3.825 0.000 3.825
3.825 3.825 0.000
La Ce Tl Ge
1 1 1 1
Direct
0.000 0.000 0.000 La
0.500 0.500 0.500 Ce
0.750 0.750 0.750 Tl
0.250 0.250 0.250 Ge